# Ho2PaAg2, relaxed, DFT PBE
data_Ho2PaAg2
_chemical_formula_sum 'Ho4 Pa2 Ag4'
_symmetry_space_group_name_H-M 'P 1'
_symmetry_Int_Tables_number 1
_symmetry_space_group_name_Hall 'P 1'
_cell_length_a 9.952
_cell_length_b 5.346
_cell_length_c 10.457
_cell_angle_alpha 69.65
_cell_angle_beta 30.24
_cell_angle_gamma 80.11
loop_
_atom_site_label
_atom_site_type_symbol
_atom_site_fract_x
_atom_site_fract_y
_atom_site_fract_z
Ho1 Ho 0.441 0.855 0.428
Ho2 Ho 0.855 0.441 0.276
Ho3 Ho 0.822 0.974 0.809
Pa1 Pa 0.405 0.405 0.095
Ag1 Ag 0.108 0.522 0.564
Ag2 Ag 0.686 0.444 0.142
Ag3 Ag 0.522 0.108 0.806
Ho4 Ho 0.974 0.822 0.395
Pa2 Pa 0.155 0.155 0.845
Ag4 Ag 0.444 0.686 0.728
# Calculated volume = 252.8 Å³ per cell
# Formation energy = 0.201 eV per atom
# Crystal system = orthorhombic

# HoAgPb, relaxed, DFT PBE
data_HoAgPb
_chemical_formula_sum 'Ho2 Ag2 Pb2'
_symmetry_space_group_name_H-M 'P 1'
_symmetry_Int_Tables_number 1
_symmetry_space_group_name_Hall 'P 1'
_cell_length_a 4.801
_cell_length_b 4.801
_cell_length_c 7.405
_cell_angle_alpha 90.00
_cell_angle_beta 90.00
_cell_angle_gamma 120.00
loop_
_atom_site_label
_atom_site_type_symbol
_atom_site_fract_x
_atom_site_fract_y
_atom_site_fract_z
Ag1 Ag 0.667 0.333 0.551
Ag2 Ag 0.333 0.667 0.051
Pb1 Pb 0.667 0.333 0.959
Ho1 Ho 0.000 0.000 0.740
Ho2 Ho 0.000 0.000 0.240
Pb2 Pb 0.333 0.667 0.459
# Calculated volume = 147.8 Å³ per cell
# Total energy = -12.3 eV/f.u.
# Crystal system = hexagonal

# PrHoAg2Pb2, relaxed, DFT PBE
data_PrHoAg2Pb2
_chemical_formula_sum 'Pr1 Ho1 Ag2 Pb2'
_symmetry_space_group_name_H-M 'P 1'
_symmetry_Int_Tables_number 1
_symmetry_space_group_name_Hall 'P 1'
_cell_length_a 4.838
_cell_length_b 4.838
_cell_length_c 7.542
_cell_angle_alpha 90.00
_cell_angle_beta 90.00
_cell_angle_gamma 120.00
loop_
_atom_site_label
_atom_site_type_symbol
_atom_site_fract_x
_atom_site_fract_y
_atom_site_fract_z
Ag1 Ag 0.667 0.333 0.172
Ag2 Ag 0.333 0.667 0.695
Pb1 Pb 0.667 0.333 0.775
Ho1 Ho 0.000 0.000 0.990
Pr1 Pr 0.000 0.000 0.489
Pb2 Pb 0.333 0.667 0.264
# Calculated volume = 152.9 Å³ per cell
# Total energy = -25.0 eV/f.u.
# Crystal system = trigonal